# 1
# CeThRh2

A relaxed structure of CeThRh2 (PBE-GGA, the Alexandria database).

Properties
Calculated volume in Å³ per atom: 22.661
SG: No. 13
E in eV/atom: -7.874

extended XYZ file:
```
16
Lattice="-2.646 0.691 -4.940 2.081 -4.925 -1.803 -7.787 -5.729 6.660" Properties=species:S:1:pos:R:3 pbc="T T T"
Ce -6.163 -6.061 -1.538
Ce -2.189 -3.902 1.456
Ce -6.897 -7.622 1.877
Ce -1.454 -2.341 -1.959
Th -2.475 -6.009 -1.920
Th -5.877 -3.954 1.837
Th -1.739 -4.453 -5.321
Th -6.613 -5.510 5.238
Rh -2.418 -1.777 -4.586
Rh -5.934 -8.186 4.503
Rh -3.876 -3.761 -0.852
Rh -4.475 -6.202 0.769
Rh -8.286 -5.368 2.931
Rh -0.065 -4.595 -3.014
Rh -6.852 -3.398 -0.793
Rh -1.500 -6.565 0.711
```

# 2
# CeTh2Rh

A relaxed structure of CeTh2Rh (PBE-GGA, the Alexandria database).

Properties
Calculated volume in Å³ per atom: 27.452
SG: No. 63
Energy above the most stable polymorph in this dataset in meV per atom: 0
E in eV/atom: -7.462

extended XYZ file:
```
8
Lattice="3.721 -0.001 0.000 -1.861 5.965 0.000 0.000 0.000 9.894" Properties=species:S:1:pos:R:3 pbc="T T T"
Ce 1.860 4.920 2.473
Ce 0.000 1.044 7.420
Th -0.001 4.343 5.478
Th 1.861 1.621 4.416
Th -0.001 4.343 9.362
Th 1.861 1.621 0.531
Rh 1.860 3.352 7.420
Rh 0.000 2.612 2.473
```